1.
The following is a GGA-PBE calculation of a relaxed structure of Nd2YInO, from the Alexandria database.

Unit cell a=5.0035 b=5.0035 c=4.7792 alpha=90.00 beta=90.00 gamma=90.00
Space group P4/mmm (No. 123)
One atom of each set of equivalent atoms:
Nd  0.0000  0.5000  0.0000 [2 per cell]
Y  0.0000  0.0000  0.5000 [1 per cell]
In  0.5000  0.5000  0.5000 [1 per cell]
O  0.0000  0.0000  0.0000 [1 per cell]

Calculated values
Formation energy from raw total energies: -1.41 eV per atom

2.
The following is a GGA-PBE calculation of a relaxed structure of Nd6InOs, from the Alexandria database.

Unit cell a=8.1689 b=10.4537 c=6.6630 alpha=90.00 beta=105.09 gamma=90.00
Space group C2/m (No. 12)
One atom of each set of equivalent atoms:
Nd  0.1247  0.1862  0.2890 [8 per cell]
Nd  0.2139  0.5000  0.1398 [4 per cell]
In  0.0000  0.5000  0.5000 [2 per cell]
Os  0.0000  0.0000  0.0000 [2 per cell]

Calculated values
ΔE_f: 0.1 kJ per mole of atoms

3.
The following is a GGA-PBE calculation of a relaxed structure of Nd3InOs, from the Alexandria database.

Unit cell a=5.5244 b=5.5244 c=5.5244 alpha=90.00 beta=90.00 gamma=90.00
Space group Pm-3m (No. 221)
One atom of each set of equivalent atoms:
Nd  0.0000  0.0000  0.5000 [3 per cell]
In  0.5000  0.5000  0.5000 [1 per cell]
Os  0.0000  0.0000  0.0000 [1 per cell]

Calculated values
Energy relative to the lowest polymorph listed for this composition: 224 meV/atom
ΔE_f: -1.9 kJ per mole of atoms

4.
The following is a GGA-PBE calculation of a relaxed structure of Nd12InOs6, from the Alexandria database.

Unit cell a=10.2251 b=10.2251 c=10.2251 alpha=90.00 beta=90.00 gamma=90.00
Space group Im-3 (No. 204)
One atom of each set of equivalent atoms:
Nd  0.0000  0.1968  0.2963 [24 per cell]
In  0.0000  0.0000  0.0000 [2 per cell]
Os  0.0000  0.3825  0.5000 [12 per cell]

Calculated values
ΔE_f: -5.5 kJ per mole of atoms